Here is crystalline Rb2HfTa at its relaxed geometry from the Alexandria database. Energies are from GGA-PBE.

a b c (Å): 8.013 8.013 8.013
angles (deg): 90.00 90.00 90.00
Space group Fm-3m (No. 225)
Inequivalent atoms, fractional coordinates:
Rb1 0.250 0.250 0.250 [8 per cell]
Hf1 0.000 0.000 0.000 [4 per cell]
Ta1 0.000 0.000 0.500 [4 per cell]

- E_tot: -3.534 eV/atom
- Distance to the lowest polymorph of the same formula: 612 meV per atom
- Formation energy from the elements: 927 kJ/mol of formula units